Entry 1:
Entry from Alexandria via LeMat-Bulk: crystalline Nd3Si2S8I at its relaxed geometry (PBEsol).

```
Nd3Si2S8I
1.0
-2.693 1.155 7.179
-4.303 -5.855 -4.860
7.438 -6.693 3.867
S Si I Nd
16 4 2 6
Direct
0.589 0.868 0.457 S
0.452 0.702 0.164 S
0.278 0.868 0.957 S
0.894 0.291 0.649 S
0.603 0.709 0.851 S
0.287 0.432 0.414 S
0.411 0.132 0.543 S
0.722 0.132 0.043 S
0.713 0.568 0.586 S
0.106 0.709 0.351 S
0.855 0.568 0.086 S
0.548 0.298 0.836 S
0.145 0.432 0.914 S
0.250 0.702 0.664 S
0.397 0.291 0.149 S
0.750 0.298 0.336 S
0.697 0.320 0.529 Si
0.303 0.680 0.471 Si
0.377 0.680 0.971 Si
0.623 0.320 0.029 Si
0.986 0.000 0.250 I
0.014 0.000 0.750 I
0.599 0.000 0.750 Nd
0.077 0.398 0.182 Nd
0.923 0.602 0.818 Nd
0.401 0.000 0.250 Nd
0.679 0.602 0.318 Nd
0.321 0.398 0.682 Nd
```

Calculated values
total energy = -6.0533 eV per atom
DOS(E_F) = 0.00 states/eV/cell

=====

Entry 2:
Entry from Alexandria via LeMat-Bulk: crystalline K3CuC4N4 at its relaxed geometry (PBEsol).

```
K3CuC4N4
1.0
7.914 0.058 0.048
2.027 7.650 0.048
2.027 1.572 7.487
N C K Cu
8 8 6 2
Direct
0.879 0.275 0.517 N
0.517 0.879 0.275 N
0.017 0.775 0.379 N
0.275 0.517 0.879 N
0.814 0.814 0.814 N
0.379 0.017 0.775 N
0.775 0.379 0.017 N
0.314 0.314 0.314 N
0.015 0.861 0.232 C
0.232 0.015 0.861 C
0.361 0.515 0.732 C
0.383 0.383 0.383 C
0.883 0.883 0.883 C
0.732 0.361 0.515 C
0.515 0.732 0.361 C
0.861 0.232 0.015 C
0.512 0.171 0.991 K
0.991 0.512 0.171 K
0.171 0.991 0.512 K
0.671 0.012 0.491 K
0.012 0.491 0.671 K
0.491 0.671 0.012 K
0.497 0.497 0.497 Cu
0.997 0.997 0.997 Cu
```

Calculated values
total energy = -6.9171 eV per atom
DOS(E_F) = 0.00 states/eV/cell

=====

Entry 3:
Entry from Alexandria via LeMat-Bulk: crystalline Lu3Al at its relaxed geometry (PBEsol).

```
Lu3Al
1.0
-2.067 3.234 2.508
-4.061 -1.276 -1.702
-0.503 -2.988 3.440
Lu Al
3 1
Direct
0.000 0.500 0.500 Lu
0.500 0.500 0.000 Lu
0.500 0.000 0.500 Lu
0.000 0.000 0.000 Al
```

Calculated values
total energy = -4.8854 eV per atom
DOS(E_F) = 3.44 states/eV/cell
calculated formation energy = -0.83 eV per formula unit

=====

Entry 4:
Entry from Alexandria via LeMat-Bulk: crystalline CsTaRu3 at its relaxed geometry (PBEsol).

```
CsTaRu3
1.0
-4.089 0.656 2.535
2.450 -0.698 4.133
0.923 4.760 0.257
Cs Ru Ta
1 3 1
Direct
0.500 0.500 0.500 Cs
0.500 0.000 0.000 Ru
0.000 0.500 0.000 Ru
0.000 0.000 0.500 Ru
0.000 0.000 0.000 Ta
```

Calculated values
total energy = -7.1106 eV per atom
DOS(E_F) = 6.64 states/eV/cell
calculated formation energy = 8.46 eV per formula unit

=====

Entry 5:
Entry from Alexandria via LeMat-Bulk: crystalline InSiAg2 at its relaxed geometry (PBEsol).

```
InSiAg2
1.0
3.111 0.000 0.000
-1.556 4.463 0.053
0.000 -1.162 5.133
Ag In Si
2 1 1
Direct
0.758 0.516 0.771 Ag
0.242 0.484 0.229 Ag
0.000 0.000 0.500 In
0.500 0.000 0.000 Si
```

Calculated values
total energy = -3.6868 eV per atom
DOS(E_F) = 1.42 states/eV/cell

=====

Entry 6:
Entry from Alexandria via LeMat-Bulk: crystalline Nb6BiTe8 at its relaxed geometry (PBEsol).

```
Nb6BiTe8
1.0
3.571 0.000 0.000
0.000 10.619 0.000
0.000 -5.309 9.196
Nb Te Bi
6 8 1
Direct
0.250 0.896 0.513 Nb
0.750 0.513 0.617 Nb
0.750 0.104 0.487 Nb
0.250 0.487 0.383 Nb
0.750 0.383 0.896 Nb
0.250 0.617 0.104 Nb
0.252 0.934 0.267 Te
0.252 0.733 0.667 Te
0.748 0.667 0.934 Te
0.749 0.667 0.333 Te
0.251 0.333 0.667 Te
0.748 0.267 0.333 Te
0.252 0.333 0.066 Te
0.748 0.066 0.733 Te
0.500 0.000 0.000 Bi
```

Calculated values
total energy = -6.9054 eV per atom
DOS(E_F) = 9.22 states/eV/cell

=====

Entry 7:
Entry from Alexandria via LeMat-Bulk: crystalline ScRe2Ir at its relaxed geometry (PBEsol).

```
ScRe2Ir
1.0
-1.204 -0.388 2.674
-1.829 -3.906 -1.390
3.713 -2.219 1.350
Sc Ir Re
1 1 2
Direct
0.500 0.500 0.500 Sc
0.500 0.000 0.000 Ir
0.000 0.500 0.000 Re
0.000 0.000 0.500 Re
```

Calculated values
total energy = -10.6181 eV per atom
polymorph energy (0 for the lowest one) = 283 meV/atom
DOS(E_F) = 4.15 states/eV/cell
calculated formation energy = 0.62 eV per formula unit

=====

Entry 8:
Entry from Alexandria via LeMat-Bulk: crystalline FeCu2Mo at its relaxed geometry (PBEsol).

```
FeCu2Mo
1.0
-1.648 -1.861 -0.654
1.505 -2.469 3.235
-2.435 3.083 2.413
Fe Cu Mo
1 2 1
Direct
0.500 0.000 0.000 Fe
0.755 0.757 0.509 Cu
0.245 0.243 0.491 Cu
0.000 0.500 0.000 Mo
```

Calculated values
total energy = -7.0923 eV per atom
polymorph energy (0 for the lowest one) = 26 meV/atom
DOS(E_F) = 2.78 states/eV/cell
calculated formation energy = 1.03 eV per formula unit

=====

Entry 9:
Entry from Alexandria via LeMat-Bulk: crystalline Cu2Pt at its relaxed geometry (PBEsol).

```
Cu2Pt
1.0
-3.359 -3.556 -2.098
2.281 -3.856 2.873
-3.744 -0.923 4.192
Cu Pt
8 4
Direct
0.335 0.333 0.671 Cu
0.510 0.490 0.000 Cu
0.990 0.010 0.000 Cu
0.666 0.170 0.334 Cu
0.989 0.490 0.002 Cu
0.830 0.334 0.666 Cu
0.510 0.011 0.998 Cu
0.667 0.665 0.329 Cu
0.332 0.829 0.682 Pt
0.829 0.829 0.677 Pt
0.171 0.171 0.323 Pt
0.171 0.668 0.318 Pt
```

Calculated values
total energy = -5.3120 eV per atom
polymorph energy (0 for the lowest one) = 24 meV/atom
DOS(E_F) = 4.91 states/eV/cell
calculated formation energy = -0.30 eV per formula unit

=====

Entry 10:
Entry from Alexandria via LeMat-Bulk: crystalline SrLi2Pd2 at its relaxed geometry (PBEsol).

```
SrLi2Pd2
1.0
3.068 0.000 0.000
0.000 7.540 0.000
0.000 0.000 7.540
Pd Li Sr
4 4 2
Direct
0.500 0.675 0.825 Pd
0.500 0.825 0.325 Pd
0.500 0.175 0.675 Pd
0.500 0.325 0.175 Pd
0.000 0.116 0.384 Li
0.000 0.884 0.616 Li
0.000 0.384 0.884 Li
0.000 0.616 0.116 Li
0.000 0.000 0.000 Sr
0.000 0.500 0.500 Sr
```

Calculated values
total energy = -3.8569 eV per atom
polymorph energy (0 for the lowest one) = 38 meV/atom
DOS(E_F) = 2.83 states/eV/cell
calculated formation energy = -1.59 eV per formula unit

=====

Entry 11:
Entry from Alexandria via LeMat-Bulk: crystalline SrMnOsCl2 at its relaxed geometry (PBEsol).

```
SrMnOsCl2
1.0
5.254 0.000 0.000
0.000 5.254 0.000
0.000 0.000 6.271
Cl Sr Mn Os
2 1 1 1
Direct
0.500 0.000 0.000 Cl
0.000 0.500 0.000 Cl
0.000 0.000 0.000 Sr
0.500 0.500 0.500 Mn
0.000 0.000 0.500 Os
```

Calculated values
total energy = -4.5687 eV per atom
DOS(E_F) = 3.11 states/eV/cell

=====

Entry 12:
Entry from Alexandria via LeMat-Bulk: crystalline Ba2Ag at its relaxed geometry (PBEsol).

```
Ba2Ag
1.0
8.129 0.000 0.000
0.000 8.129 0.000
0.000 0.000 8.129
Ba Ag
8 4
Direct
0.668 0.668 0.668 Ba
0.168 0.832 0.332 Ba
0.832 0.168 0.668 Ba
0.832 0.332 0.168 Ba
0.332 0.168 0.832 Ba
0.668 0.832 0.168 Ba
0.332 0.332 0.332 Ba
0.168 0.668 0.832 Ba
0.000 0.000 0.000 Ag
0.500 0.500 0.000 Ag
0.500 0.000 0.500 Ag
0.000 0.500 0.500 Ag
```

Calculated values
total energy = -2.6178 eV per atom
polymorph energy (0 for the lowest one) = 57 meV/atom
DOS(E_F) = 12.98 states/eV/cell
calculated formation energy = -0.24 eV per formula unit

=====

Entry 13:
Entry from Alexandria via LeMat-Bulk: crystalline CrCdRu3 at its relaxed geometry (PBEsol).

```
CrCdRu3
1.0
-3.474 -2.640 0.230
2.194 -2.653 2.690
-1.486 2.254 3.435
Cr Ru Cd
1 3 1
Direct
0.000 0.000 0.000 Cr
0.000 0.500 0.000 Ru
0.500 0.000 0.000 Ru
0.000 0.000 0.500 Ru
0.500 0.500 0.500 Cd
```

Calculated values
total energy = -7.2325 eV per atom
DOS(E_F) = 6.08 states/eV/cell
calculated formation energy = 5.79 eV per formula unit

=====

Entry 14:
Entry from Alexandria via LeMat-Bulk: crystalline MnTlTc2Sb at its relaxed geometry (PBEsol).

```
MnTlTc2Sb
1.0
-2.786 -3.546 1.645
1.107 -2.741 -4.035
3.920 -1.963 2.409
Tc Tl Sb Mn
2 1 1 1
Direct
0.000 0.500 0.000 Tc
0.000 0.000 0.500 Tc
0.000 0.000 0.000 Tl
0.500 0.500 0.500 Sb
0.500 0.000 0.000 Mn
```

Calculated values
total energy = -5.8230 eV per atom
DOS(E_F) = 6.28 states/eV/cell

=====

Entry 15:
Entry from Alexandria via LeMat-Bulk: crystalline Cd2CuNi at its relaxed geometry (PBEsol).

```
Cd2CuNi
1.0
-2.538 0.700 1.334
0.895 -1.476 2.477
2.832 5.719 2.385
Cu Ni Cd
1 1 2
Direct
0.000 0.000 0.537 Cu
0.500 0.500 0.716 Ni
0.000 0.000 0.958 Cd
0.500 0.500 0.289 Cd
```

Calculated values
total energy = -3.1720 eV per atom
polymorph energy (0 for the lowest one) = 4 meV/atom
DOS(E_F) = 2.14 states/eV/cell
calculated formation energy = 0.20 eV per formula unit

=====

Entry 16:
Entry from Alexandria via LeMat-Bulk: crystalline RbYCuW2 at its relaxed geometry (PBEsol).

```
RbYCuW2
1.0
4.675 0.000 0.000
0.000 4.675 0.000
0.000 0.000 5.056
Cu W Y Rb
1 2 1 1
Direct
0.500 0.500 0.500 Cu
0.500 0.000 0.000 W
0.000 0.500 0.000 W
0.000 0.000 0.500 Y
0.000 0.000 0.000 Rb
```

Calculated values
total energy = -4.7495 eV per atom
DOS(E_F) = 5.06 states/eV/cell
calculated formation energy = 16.05 eV per formula unit

=====

Entry 17:
Entry from Alexandria via LeMat-Bulk: crystalline NaSc2Au at its relaxed geometry (PBEsol).

```
NaSc2Au
1.0
-2.646 -1.462 0.321
-0.129 -3.012 -0.387
1.292 -3.032 11.228
Au Sc Na
1 2 1
Direct
0.000 0.000 0.000 Au
0.922 0.922 0.234 Sc
0.078 0.078 0.766 Sc
0.500 0.500 0.500 Na
```

Calculated values
total energy = -4.2918 eV per atom
DOS(E_F) = 5.62 states/eV/cell
calculated formation energy = 1.37 eV per formula unit

=====

Entry 18:
Entry from Alexandria via LeMat-Bulk: crystalline CaZr2Pb at its relaxed geometry (PBEsol).

```
CaZr2Pb
1.0
-2.445 -1.930 0.783
2.857 -4.365 -1.836
2.542 -0.417 4.946
Ca Pb Zr
1 1 2
Direct
0.500 0.500 0.000 Ca
0.000 0.500 0.500 Pb
0.807 0.000 0.736 Zr
0.193 0.000 0.264 Zr
```

Calculated values
total energy = -6.0597 eV per atom
DOS(E_F) = 3.27 states/eV/cell
calculated formation energy = 0.07 eV per formula unit

=====

Entry 19:
Entry from Alexandria via LeMat-Bulk: crystalline CoHg2As at its relaxed geometry (PBEsol).

```
CoHg2As
1.0
-0.729 -2.711 -1.396
0.556 -2.716 1.463
-7.933 -1.514 3.561
Co Hg As
1 2 1
Direct
0.241 0.241 0.277 Co
0.752 0.752 0.743 Hg
0.985 0.985 0.045 Hg
0.521 0.521 0.436 As
```

Calculated values
total energy = -3.4520 eV per atom
DOS(E_F) = 1.96 states/eV/cell
calculated formation energy = 0.17 eV per formula unit

=====

Entry 20:
Entry from Alexandria via LeMat-Bulk: crystalline CuOsW at its relaxed geometry (PBEsol).

```
CuOsW
1.0
-0.754 -2.426 -1.047
1.789 -1.779 2.835
-3.844 2.203 1.268
W Os Cu
1 1 1
Direct
0.333 0.333 0.666 W
0.665 0.665 0.331 Os
0.002 0.002 0.004 Cu
```

Calculated values
total energy = -9.9537 eV per atom
DOS(E_F) = 1.78 states/eV/cell
calculated formation energy = 0.50 eV per formula unit